No. 1
TbCoPt: relaxed, PBE-GGA.

Cell: 4.839 3.423 9.262 Å, 90.00 90.00 134.98°
Site moments in Bohr magnetons follow the coordinates.
Positions (direct):
Pt  0.694  0.389  0.644  0.12
Pt  0.694  0.389  0.356  0.12
Tb  0.194  0.389  0.180  -0.14
Tb  0.194  0.389  0.820  -0.14
Co  0.194  0.389  0.500  1.92
Co  0.694  0.389  0.000  0.87

Values from the calculation:
VASP energy	-37.822	eV for the cell shown
V	109	Å³/cell
formation energy	-0.38	eV/atom
magnetization	2.627	Bohr magnetons per cell
space-group type	P4/mmm

No. 2
IrBrCl2: relaxed, PBE-GGA.

Cell: 5.079 5.079 3.050 Å, 90.00 90.00 106.94°
Positions (direct):
Ir  0.500  0.000  0.500
Cl  0.000  0.000  0.000
Cl  0.500  0.500  0.000
Br  0.000  0.500  0.500

Values from the calculation:
VASP energy	-9.363	eV for the cell shown
V	75	Å³/cell
excess energy over the best structure of this formula in the dataset	6.49	eV per formula unit
magnetization	0.005	Bohr magnetons per cell
space-group type	Cmmm

No. 3
YVSb: relaxed, PBE-GGA.

Cell: 4.801 6.284 5.595 Å, 96.58 115.41 90.00°
Positions (direct):
Y  0.125  0.763  0.251
Y  0.875  0.237  0.749
V  0.419  0.566  0.837
V  0.581  0.434  0.163
Sb  0.824  0.735  0.648
Sb  0.176  0.265  0.352

Values from the calculation:
VASP energy	-41.458	eV for the cell shown
V	151	Å³/cell
magnetization	0.000	Bohr magnetons per cell
space-group type	C2/m